No. 1
Li3Ga2Ge2: optimized geometry, PBE.

- Energy of formation: -238.0 meV per atom
- D(E_F): 1.9 states/eV/f.u.
- Size of the total moment: 0.000 μB/atom

Cell: 4.162 3.236 9.332 Å, 99.99 102.88 90.00°
Positions (direct):
Ge 0.852 0.352 0.703
Ge 0.148 0.648 0.297
Li 0.298 0.798 0.597
Li 0.702 0.202 0.403
Li 0.000 0.000 0.000
Ga 0.430 0.430 0.861
Ga 0.570 0.570 0.139

=====

No. 2
LiFeBi2B: optimized geometry, PBE.

- Energy of formation: 456.0 meV per atom
- D(E_F): 4.0 states/eV/f.u.
- Size of the total moment: 0.182 μB/atom

Cell: 5.247 3.824 5.247 Å, 90.00 90.00 90.00°
Site moments in Bohr magnetons follow the coordinates.
Positions (direct):
Bi 0.500 0.000 0.000  -0.03
Bi 0.000 0.000 0.500  -0.04
Li 0.500 0.500 0.500  0.01
Fe 0.000 0.000 0.000  1.06
B 0.000 0.500 0.000  -0.07

=====

No. 3
FeSi2Ru: optimized geometry, PBE.

- D(E_F): 3.4 states/eV/f.u.
- Size of the total moment: 0.332 μB/atom
- Energy relative to the elements, uncorrected: -0.14 eV/atom

Cell: 2.931 4.622 3.750 Å, 90.00 90.00 90.00°
Site moments in Bohr magnetons follow the coordinates.
Positions (direct):
Fe 0.500 0.000 0.500  1.29
Si 0.000 0.000 0.000  -0.03
Si 0.500 0.500 0.000  -0.01
Ru 0.000 0.500 0.500  0.12

=====

No. 4
KBa2Y: optimized geometry, PBE.

- Energy of formation: 347.4 meV per atom
- D(E_F): 6.9 states/eV/f.u.
- Offset from the most stable computed form: 0.580 eV per formula unit
- Size of the total moment: 0.155 μB/atom

Cell: 4.062 6.231 8.364 Å, 90.00 90.00 90.00°
Site moments in Bohr magnetons follow the coordinates.
Positions (direct):
Y 0.500 0.500 0.768  0.22
Ba 0.500 0.500 0.248  -0.01
Ba 0.000 0.000 0.973  0.05
K 0.000 0.000 0.510  0.00

=====

What is the D(E_F) in the second record? 4.0 states/eV/f.u.